Below is a crystal of KCoC2 relaxed with PBEsol, with properties calculated at the SCAN level.

The density of states at the Fermi level comes out at 0.4440 states/eV per atom. Its energy above the most stable polymorph in this dataset is 1959.7 meV/atom. As for the energy: -0.3211 Ha/atom. The formation energy is 2.720 eV per atom.

The space group is Fm-3m (No. 225) and the conventional cell measures 5.603, 5.603 and 5.603 Å, with angles of 90.00, 90.00 and 90.00 degrees. The distinct sites, in fractional coordinates, are K at (0.000, 0.000, 0.000), Co at (0.000, 0.000, 0.500) and C at (0.250, 0.250, 0.250).